[1]
## InSiTe4 (GGA-PBE)

Data for a geometry-optimized InSiTe4 structure.

Values from the calculation:
energy above the lowest structure with this stoichiometry: 0.000 eV per atom
energy relative to the elements, uncorrected: -41 meV/atom
spin magnetization: 0.00 μB per cell

a = 7.064 Å, b = 7.105 Å, c = 9.021 Å
α = 90.00°, β = 90.00°, γ = 90.00°
Element x y z (fractional)
In 0.000 0.000 0.000
In 0.500 0.000 0.500
Si 0.000 0.000 0.500
Si 0.000 0.500 0.000
Te 0.215 0.282 0.150
Te 0.215 0.718 0.850
Te 0.217 0.212 0.652
Te 0.217 0.788 0.348
Te 0.783 0.212 0.348
Te 0.783 0.788 0.652
Te 0.785 0.282 0.850
Te 0.785 0.718 0.150

[2]
## In2SiTe (GGA-PBE)

Data for a geometry-optimized In2SiTe structure.

Values from the calculation:
energy above the lowest structure with this stoichiometry: 0.362 eV per atom
energy relative to the elements, uncorrected: 294 meV/atom
spin magnetization: 0.00 μB per cell

a = 5.108 Å, b = 5.108 Å, c = 3.932 Å
α = 90.00°, β = 90.00°, γ = 90.00°
Element x y z (fractional)
In 0.000 0.500 0.000
In 0.500 0.000 0.000
Si 0.000 0.000 0.500
Te 0.500 0.500 0.500

[3]
## In2SiTe (GGA-PBE)

Data for a geometry-optimized In2SiTe structure.

Values from the calculation:
energy above the lowest structure with this stoichiometry: 0.364 eV per atom
energy relative to the elements, uncorrected: 296 meV/atom
spin magnetization: 0.00 μB per cell

a = 3.494 Å, b = 3.494 Å, c = 9.598 Å
α = 90.00°, β = 90.00°, γ = 115.84°
Element x y z (fractional)
In 0.000 0.000 0.000
In 0.500 0.500 0.274
Si 0.000 0.000 0.506
Te 0.500 0.500 0.708

[4]
## InSiTe2 (GGA-PBE)

Data for a geometry-optimized InSiTe2 structure.

Values from the calculation:
energy above the lowest structure with this stoichiometry: 0.175 eV per atom
energy relative to the elements, uncorrected: 152 meV/atom
spin magnetization: 0.00 μB per cell

a = 5.855 Å, b = 5.855 Å, c = 6.680 Å
α = 116.17°, β = 116.17°, γ = 35.67°
Element x y z (fractional)
In 0.000 0.000 0.000
Si 0.711 0.711 0.983
Te 0.205 0.205 0.668
Te 0.382 0.382 0.297

Question: Look up the spin magnetization of the fourth one.
Answer: 0.00 μB per cell